Record 1
DFT (GGA-PBE) results for crystalline Mn5NbRh at its relaxed geometry.

Structure (POSCAR):
```
Mn5NbRh
1.0
7.834 0.000 0.000
0.000 4.670 0.000
0.000 0.000 9.814
Mn Nb Rh
20 4 4
direct
0.053 0.250 0.091
0.075 0.510 0.312
0.075 0.990 0.312
0.089 0.750 0.526
0.190 0.750 0.754
0.310 0.250 0.254
0.411 0.250 0.026
0.425 0.010 0.812
0.425 0.490 0.812
0.447 0.750 0.591
0.553 0.250 0.409
0.575 0.510 0.188
0.575 0.990 0.188
0.589 0.750 0.974
0.690 0.750 0.746
0.810 0.250 0.246
0.911 0.250 0.474
0.925 0.010 0.688
0.925 0.490 0.688
0.947 0.750 0.909
0.248 0.750 0.062
0.252 0.250 0.562
0.748 0.750 0.438
0.752 0.250 0.938
0.133 0.250 0.853
0.367 0.750 0.353
0.633 0.250 0.647
0.867 0.750 0.147
```

SG: Pnma (62)
Formation energy from the elements, eV/atom: -0.049



Record 2
DFT (GGA-PBE) results for crystalline MnNb2Rh3 at its relaxed geometry.

Structure (POSCAR):
```
MnNb2Rh3
1.0
1.973 -6.014 0.000
1.973 6.014 0.000
0.000 0.000 3.813
Mn Nb Rh
1 2 3
direct
0.000 0.000 0.000
0.343 0.657 0.000
0.657 0.343 0.000
0.164 0.836 0.500
0.500 0.500 0.500
0.836 0.164 0.500
```

SG: Cmmm (65)
Formation energy from the elements, eV/atom: -0.388



Record 3
DFT (GGA-PBE) results for crystalline Mn2NbRh at its relaxed geometry.

Structure (POSCAR):
```
Mn2NbRh
1.0
-1.848 1.848 9.297
1.848 -1.848 9.297
1.848 1.848 -9.297
Mn Nb Rh
4 2 2
direct
0.121 0.625 0.996
0.375 0.371 0.496
0.629 0.125 0.004
0.875 0.879 0.504
0.250 0.750 0.500
0.500 0.500 0.000
0.000 0.000 0.000
0.750 0.250 0.500
```

Relative energy among the computed polymorphs, meV per atom: 506
SG: I-42d (122)
Formation energy from the elements, eV/atom: 0.384



Record 4
DFT (GGA-PBE) results for crystalline Mn2NbRh at its relaxed geometry.

Structure (POSCAR):
```
Mn2NbRh
1.0
0.000 3.061 3.061
3.061 0.000 3.061
3.061 3.061 0.000
Mn Nb Rh
2 1 1
direct
0.250 0.250 0.250
0.750 0.750 0.750
0.000 0.000 0.000
0.500 0.500 0.500
```

Relative energy among the computed polymorphs, meV per atom: 16
SG: Fm-3m (225)
Formation energy from the elements, eV/atom: -0.106



Record 5
DFT (GGA-PBE) results for crystalline MnNb6Rh at its relaxed geometry.

Structure (POSCAR):
```
MnNb6Rh
1.0
-2.292 2.292 6.442
2.292 -2.292 6.442
2.292 2.292 -6.442
Mn Nb Rh
1 6 1
direct
0.000 0.000 0.000
0.121 0.621 0.500
0.248 0.248 0.000
0.379 0.879 0.500
0.621 0.121 0.500
0.752 0.752 0.000
0.879 0.379 0.500
0.500 0.500 0.000
```

SG: I4/mmm (139)
Formation energy from the elements, eV/atom: -0.112



Record 6
DFT (GGA-PBE) results for crystalline MnNbRh14 at its relaxed geometry.

Structure (POSCAR):
```
MnNbRh14
1.0
5.446 0.000 0.000
0.000 5.446 0.000
0.000 0.000 7.736
Mn Nb Rh
1 1 14
direct
0.000 0.000 0.000
0.500 0.500 0.000
0.000 0.000 0.500
0.000 0.500 0.000
0.000 0.500 0.500
0.249 0.249 0.250
0.249 0.249 0.750
0.249 0.751 0.250
0.249 0.751 0.750
0.500 0.000 0.000
0.500 0.000 0.500
0.500 0.500 0.500
0.751 0.249 0.250
0.751 0.249 0.750
0.751 0.751 0.250
0.751 0.751 0.750
```

SG: P4/mmm (123)
Formation energy from the elements, eV/atom: -0.130



Repeat the sixth record exactly.
DFT (GGA-PBE) results for crystalline MnNbRh14 at its relaxed geometry.

Structure (POSCAR):
```
MnNbRh14
1.0
5.446 0.000 0.000
0.000 5.446 0.000
0.000 0.000 7.736
Mn Nb Rh
1 1 14
direct
0.000 0.000 0.000
0.500 0.500 0.000
0.000 0.000 0.500
0.000 0.500 0.000
0.000 0.500 0.500
0.249 0.249 0.250
0.249 0.249 0.750
0.249 0.751 0.250
0.249 0.751 0.750
0.500 0.000 0.000
0.500 0.000 0.500
0.500 0.500 0.500
0.751 0.249 0.250
0.751 0.249 0.750
0.751 0.751 0.250
0.751 0.751 0.750
```

SG: P4/mmm (123)
Formation energy from the elements, eV/atom: -0.130